Entry 1:
Density functional theory data (PBEsol) for a relaxed structure of CuSbOsI2.

The structure in extended XYZ format:
```
5
Lattice="5.066 0.000 0.000 0.000 5.066 0.000 0.000 0.000 5.099" Properties=species:S:1:pos:R:3 pbc="T T T"
Cu 0.000 0.000 0.000
Sb 0.000 0.000 2.550
Os 2.533 2.533 2.550
I 0.000 2.533 0.000
I 2.533 0.000 0.000
```

- V (Å³/cell) = 131
- total moment (μB per formula unit) = 3.3
- symmetry = P4/mmm
- DOS(E_F) (states/eV/cell) = 6.77
- calculated total energy (eV per atom) = -3.363

Entry 2:
Density functional theory data (PBEsol) for a relaxed structure of CuP7I.

The structure in extended XYZ format:
```
72
Lattice="9.706 0.000 0.000 0.000 9.650 0.000 -4.231 0.000 15.828" Properties=species:S:1:pos:R:3 pbc="T T T"
Cu -1.325 0.790 6.176
Cu -3.440 4.035 14.090
Cu 0.125 6.200 10.741
Cu 2.241 8.275 2.827
Cu 3.233 1.375 13.001
Cu 5.349 3.450 5.087
Cu 8.915 5.615 1.738
Cu 6.799 8.860 9.652
P 0.006 1.680 2.609
P -2.110 3.145 10.523
P -1.574 1.047 9.954
P 0.542 3.778 2.040
P 1.394 1.082 0.016
P -0.722 3.743 7.931
P 0.128 1.892 4.828
P -1.988 2.933 12.742
P -1.858 0.695 12.867
P 0.258 4.130 4.952
P -0.418 1.523 8.098
P 1.698 3.303 0.184
P 1.955 0.687 2.099
P -0.161 4.138 10.014
P -0.129 0.333 11.530
P 1.986 4.492 3.616
P -0.960 0.470 14.860
P 1.156 4.355 6.946
P 2.224 1.333 5.342
P 0.108 3.492 13.256
P 1.677 1.376 8.758
P 3.792 3.449 0.844
P 0.457 2.227 15.056
P 2.573 2.598 7.142
P 3.894 1.745 2.310
P 1.279 1.980 12.102
P 3.395 2.845 4.188
P 1.779 3.080 10.224
P 3.696 6.570 5.604
P 2.080 6.805 11.640
P 4.196 7.670 3.726
P 1.580 7.905 13.518
P 2.902 7.052 8.686
P 5.017 7.423 0.772
P 1.682 6.201 14.984
P 3.798 8.274 7.070
P 5.366 6.158 2.572
P 3.251 8.317 10.486
P 4.318 5.295 8.883
P 6.434 9.180 0.968
P 3.488 5.158 12.213
P 5.604 9.317 4.299
P 5.635 5.512 5.815
P 3.520 8.963 13.729
P 3.776 6.348 15.645
P 5.892 8.128 7.730
P 5.217 5.520 10.876
P 7.332 8.955 2.962
P 7.462 6.717 3.086
P 5.346 7.758 11.001
P 6.196 5.907 7.898
P 4.081 8.568 15.812
P 4.932 5.872 13.788
P 7.048 8.603 5.874
P 7.584 6.505 5.305
P 5.468 7.970 13.219
I 1.537 6.752 0.865
I -0.579 7.723 8.779
I -1.405 6.689 12.760
I 0.711 7.786 4.846
I 4.764 1.864 10.982
I 6.879 2.961 3.068
I 6.053 1.927 7.049
I 3.938 2.898 14.963
```

- V (Å³/cell) = 1483
- total moment (μB per formula unit) = 0.0
- symmetry = P2_1/c
- calculated total energy (eV per atom) = -5.236

Entry 3:
Density functional theory data (PBEsol) for a relaxed structure of Cu3PI.

The structure in extended XYZ format:
```
5
Lattice="4.774 0.000 0.000 0.000 4.774 0.000 0.000 0.000 4.774" Properties=species:S:1:pos:R:3 pbc="T T T"
Cu 0.000 0.000 2.387
Cu 0.000 2.387 0.000
Cu 2.387 0.000 0.000
P 2.387 2.387 2.387
I 0.000 0.000 0.000
```

- V (Å³/cell) = 109
- total moment (μB per formula unit) = 0.3
- symmetry = Pm-3m
- DOS(E_F) (states/eV/cell) = 4.25
- calculated total energy (eV per atom) = -2.741